(1)
An optimized crystal structure of ZrNbPd2. Source: Alexandria via LeMat-Bulk, functional PBE.

Results
* E: -7.306 eV per atom

Unit cell a=7.3566 b=7.3566 c=5.9002 alpha=51.43 beta=51.43 gamma=90.00
Atoms (fractional coordinates):
Pd1 0.8750 0.8871 0.7500
Nb1 0.0000 0.0000 0.0000
Pd2 0.1129 0.6250 0.2500
Pd3 0.3750 0.3629 0.7500
Zr1 0.5000 0.5000 0.0000
Nb2 0.7500 0.2500 0.5000
Pd4 0.6371 0.1250 0.2500
Zr2 0.2500 0.7500 0.5000

***

(2)
An optimized crystal structure of LiNp2USe4. Source: Alexandria via LeMat-Bulk, functional PBE.

Results
* E: -7.707 eV per atom
* formation energy (no corrections): -104 kJ per mole of atoms

Unit cell a=4.0071 b=7.0591 c=7.0838 alpha=108.87 beta=90.00 gamma=90.00
Site moments in Bohr magnetons follow the coordinates.
Atoms (fractional coordinates):
Se1 0.5000 0.7447 0.7559  0.02
Np1 0.5000 0.0000 0.5000  -4.00
Np2 0.0000 0.5000 0.5000  -3.99
U1 0.0000 0.0000 0.0000  2.18
Se2 0.0000 0.2588 0.7600  0.04
Se3 0.0000 0.7412 0.2400  0.04
Li1 0.5000 0.5000 0.0000  0.01
Se4 0.5000 0.2553 0.2441  0.02

***

(3)
An optimized crystal structure of BaReMoC2. Source: Alexandria via LeMat-Bulk, functional PBE.

Results
* E: -4.611 eV per atom

Unit cell a=4.2887 b=5.3727 c=4.2887 alpha=90.00 beta=90.00 gamma=90.00
Atoms (fractional coordinates):
Ba1 0.0000 0.0000 0.0000
Mo1 0.5000 0.5000 0.5000
Re1 0.0000 0.5000 0.0000
C1 0.5000 0.0000 0.0000
C2 0.0000 0.0000 0.5000

***

(4)
An optimized crystal structure of Mn2VMoAu. Source: Alexandria via LeMat-Bulk, functional PBE.

Results
* E: -6.763 eV per atom

Unit cell a=4.4312 b=5.0828 c=4.4312 alpha=90.00 beta=90.00 gamma=90.00
Site moments in Bohr magnetons follow the coordinates.
Atoms (fractional coordinates):
Mo1 0.0000 0.0000 0.0000  -0.81
Mn1 0.0000 0.0000 0.5000  2.51
Au1 0.0000 0.5000 0.0000  -0.04
V1 0.5000 0.5000 0.5000  0.29
Mn2 0.5000 0.0000 0.0000  2.90